No. 1
First-principles (PBE) data for crystalline InTeO3 at its relaxed geometry, as listed in Alexandria.

abc: 5.9260 5.9260 6.2226
angles: 90.00 90.00 120.00
Space group P-6c2 (No. 188)
Inequivalent atoms, fractional coordinates:
1 In 0.0000 0.0000 0.0000 [2 per cell]
2 Te 0.3333 0.6667 0.0000 [2 per cell]
3 O 0.1655 0.3401 0.2500 [6 per cell]

Output
Energy relative to the elements, uncorrected in eV per atom: -0.683
Energy in eV/f.u.: -24.17
Total moment in μB per formula unit: 0.000

---

No. 2
First-principles (PBE) data for crystalline Tl2AgN at its relaxed geometry, as listed in Alexandria.

abc: 6.529 6.529 8.886
angles: 90.00 90.00 90.00
Space group I-42d (No. 122)
Inequivalent atoms, fractional coordinates:
1 Tl 0.183 0.250 0.125 [8 per cell]
2 Ag 0.000 0.000 0.500 [4 per cell]
3 N 0.000 0.000 0.000 [4 per cell]

Output
Energy relative to the elements, uncorrected in eV per atom: 0.657
Energy in eV/f.u.: -13.28
Total moment in μB per formula unit: 0.000
Polymorph energy (0 for the lowest one) in eV/atom: 0.000

---

No. 3
First-principles (PBE) data for crystalline MnMo2 at its relaxed geometry, as listed in Alexandria.

abc: 6.9997 6.9997 3.0645
angles: 90.00 90.00 120.00
Space group P-62m (No. 189)
Inequivalent atoms, fractional coordinates:
1 Mn 0.0000 0.0000 0.0000 [1 per cell]
2 Mn 0.3333 0.6667 0.5000 [2 per cell]
3 Mo 0.0000 0.2637 0.5000 [3 per cell]
4 Mo 0.0000 0.5906 0.0000 [3 per cell]

Output
Energy in eV/f.u.: -30.10
Total moment in μB per formula unit: 0.001
E_form in kJ per mole of atoms: 24

---

No. 4
First-principles (PBE) data for crystalline Tb2YHg at its relaxed geometry, as listed in Alexandria.

abc: 4.616 12.040 8.654
angles: 90.00 90.00 90.00
Space group Cmcm (No. 63)
Inequivalent atoms, fractional coordinates:
1 Tb 0.000 0.139 0.048 [8 per cell]
2 Y 0.000 0.446 0.250 [4 per cell]
3 Hg 0.000 0.267 0.750 [4 per cell]

Output
Energy in eV/f.u.: -16.70
Total moment in μB per formula unit: 0.000
Polymorph energy (0 for the lowest one) in eV/atom: 0.056
E_form in kJ per mole of atoms: -16

---

No. 5
First-principles (PBE) data for crystalline TcNiPt3 at its relaxed geometry, as listed in Alexandria.

abc: 4.761 4.761 4.761
angles: 90.00 90.00 90.00
Space group Pm-3m (No. 221)
Inequivalent atoms, fractional coordinates:
1 Tc 0.000 0.000 0.000 [1 per cell]
2 Ni 0.500 0.500 0.500 [1 per cell]
3 Pt 0.000 0.000 0.500 [3 per cell]

Output
Energy in eV/f.u.: -26.72
Total moment in μB per formula unit: 0.000
Polymorph energy (0 for the lowest one) in eV/atom: 1.644
E_form in kJ per mole of atoms: 146

---

No. 6
First-principles (PBE) data for crystalline CaPrNi at its relaxed geometry, as listed in Alexandria.

abc: 3.538 3.538 13.151
angles: 90.00 90.00 90.00
Space group I4mm (No. 107)
Inequivalent atoms, fractional coordinates:
1 Ca 0.000 0.000 0.000 [2 per cell]
2 Pr 0.000 0.000 0.254 [2 per cell]
3 Ni 0.000 0.000 0.640 [2 per cell]

Output
Energy in eV/f.u.: -12.85
Total moment in μB per formula unit: 0.000
Polymorph energy (0 for the lowest one) in eV/atom: 0.063
E_form in kJ per mole of atoms: -9

---

No. 7
First-principles (PBE) data for crystalline PuCd3Pd4 at its relaxed geometry, as listed in Alexandria.

abc: 15.191 4.546 4.547
angles: 90.00 107.33 90.00
Space group C2/m (No. 12)
Inequivalent atoms, fractional coordinates:
1 Pu 0.000 0.000 0.000 [2 per cell]
2 Cd 0.000 0.500 0.500 [2 per cell]
3 Cd 0.247 0.500 0.747 [4 per cell]
4 Pd 0.129 0.000 0.629 [4 per cell]
5 Pd 0.129 0.500 0.129 [4 per cell]

Output
Energy in eV/f.u.: -40.87
Total moment in μB per formula unit: 5.284
E_form in kJ per mole of atoms: -36

---

No. 8
First-principles (PBE) data for crystalline Rb3Sb3Au5 at its relaxed geometry, as listed in Alexandria.

abc: 6.992 8.195 8.249
angles: 109.96 114.55 99.84
Space group P1 (No. 1)
Inequivalent atoms, fractional coordinates:
1 Rb 0.000 0.000 0.000 [1 per cell]
2 Rb 0.320 0.671 0.337 [1 per cell]
3 Rb 0.649 0.333 0.664 [1 per cell]
4 Sb 0.252 0.319 0.843 [1 per cell]
5 Sb 0.583 0.989 0.166 [1 per cell]
6 Sb 0.928 0.665 0.519 [1 per cell]
7 Au 0.311 0.662 0.812 [1 per cell]
8 Au 0.630 0.305 0.118 [1 per cell]
9 Au 0.682 0.661 0.137 [1 per cell]
10 Au 0.999 0.323 0.454 [1 per cell]
11 Au 0.999 0.994 0.494 [1 per cell]

Output
Energy relative to the elements, uncorrected in eV per atom: -0.305
Energy in eV/f.u.: -35.01
Total moment in μB per formula unit: 0.000

---

- What is the total moment in the fourth record?
  0.000 μB per formula unit

---

- Number 3 is which compound?
  MnMo2

---

- What is the total moment in the fifth record?
  0.000 μB per formula unit